A plane-wave DFT calculation with PBE-GGA was carried out for a relaxed structure of GdTiCd2.

Structure (POSCAR):
```
GdTiCd2
1.0
3.237 0.000 0.000
0.000 3.237 0.000
0.000 0.000 8.544
Gd Ti Cd
1 1 2
direct
0.000 0.000 0.000
0.000 0.000 0.500
0.500 0.500 0.278
0.500 0.500 0.722
```

Excess energy over the best structure of this formula in the dataset (meV per atom): 0
Calculated formation energy (meV per atom): -67.4
Density of states at the Fermi level (states/eV/cell): 3.800